Entry from Alexandria: an optimized crystal structure of SrAg2Ir (GGA-PBEsol).

**Polymorph energy (0 for the lowest one)**: 0.580 eV/f.u.
**ΔE_f**: 25 kJ/mol of atoms
**Magnetic moment**: 0.00 μB per formula unit

Cell lengths 4.2588, 4.2588, 8.4879 Å; angles 90.00, 90.00, 90.00 degrees
Closest atoms and distances in Å follow each position.
Space group I-4m2 (No. 119)
One atom of each set of equivalent atoms:
Sr  0.0000  0.0000  0.0000 (multiplicity 2)  4 Ir 3.01, 8 Ag 3.01
Ag  0.0000  0.0000  0.5000 (multiplicity 2)  4 Ir 3.01, 4 Ag 3.01, 4 Sr 3.01
Ag  0.0000  0.5000  0.2500 (multiplicity 2)  4 Sr 3.01, 4 Ag 3.01, 4 Ir 3.01
Ir  0.0000  0.5000  0.7500 (multiplicity 2)  4 Sr 3.01, 8 Ag 3.01